# 1
This record from Alexandria describes a relaxed Dy6MgAl3 crystal. The functional is PBE.

Cell lengths 5.152, 9.238, 11.338 Å; angles 107.80, 90.00, 90.00 degrees
Fractional coordinates of all 20 atoms:
Dy  0.250  0.653  0.680
Dy  0.750  0.545  0.913
Dy  0.250  0.103  0.879
Dy  0.750  0.347  0.320
Al  0.250  0.539  0.381
Dy  0.250  0.824  0.291
Al  0.750  0.461  0.619
Dy  0.750  0.734  0.499
Dy  0.250  0.127  0.160
Mg  0.250  0.960  0.589
Dy  0.750  0.176  0.709
Al  0.250  0.379  0.786
Al  0.750  0.621  0.214
Mg  0.750  0.040  0.411
Al  0.250  0.773  0.973
Al  0.750  0.227  0.027
Dy  0.750  0.873  0.840
Dy  0.750  0.897  0.121
Dy  0.250  0.266  0.501
Dy  0.250  0.455  0.087

## Properties
Total DFT energy (no corrections): -85.53 eV per cell
Calculated density: 6.98 Mg/m³

=====

# 2
This record from Alexandria describes a relaxed NaTc3As crystal. The functional is PBE.

Cell lengths 4.652, 4.652, 4.652 Å; angles 90.00, 90.00, 90.00 degrees
Fractional coordinates of all 5 atoms:
Tc  0.500  0.000  0.000
Tc  0.000  0.500  0.000
Tc  0.000  0.000  0.500
As  0.000  0.000  0.000
Na  0.500  0.500  0.500

## Properties
Energy above the most stable polymorph in this dataset: 0 meV per atom
Calculated density: 6.46 Mg/m³

=====

# 3
This record from Alexandria describes a relaxed Ga2Sb2As crystal. The functional is PBE.

Cell lengths 7.418, 7.418, 4.286 Å; angles 90.00, 90.00, 90.00 degrees
Fractional coordinates of all 10 atoms:
As  0.500  0.500  0.000
Ga  0.660  0.160  0.000
Sb  0.859  0.359  0.500
Ga  0.340  0.840  0.000
Sb  0.141  0.641  0.500
Sb  0.641  0.859  0.500
Ga  0.840  0.660  0.000
As  0.000  0.000  0.000
Sb  0.359  0.141  0.500
Ga  0.160  0.340  0.000

## Properties
Energy above the most stable polymorph in this dataset: 68 meV per atom
Calculated density: 6.45 Mg/m³
Formation energy from raw total energies: 251 meV per atom